(1)
# GaGeBr2

A geometry-optimized GaGeBr2 structure (PBE, the Alexandria database).

The structure in extended XYZ format:
```
8
Lattice="-3.009 -3.673 2.830 -1.439 -2.467 -4.732 4.725 -8.294 -0.341" Properties=species:S:1:pos:R:3 pbc="T T T"
Ge 0.000 0.000 0.000
Ge -0.255 -7.518 0.769
Ga -2.224 -3.070 -0.951
Ga 0.531 -6.916 -3.012
Br -0.969 -4.787 1.176
Br -0.005 -3.965 -2.773
Br 1.918 -8.449 -0.828
Br -0.392 -11.666 -2.061
```

Output
- crystal system = tetragonal
- formation energy from raw total energies (eV/atom) = -0.04
- E (eV/cell) = -22.3
- calculated volume (Å³/cell) = 266.3



(2)
# Ga2GeBr8

A geometry-optimized Ga2GeBr8 structure (PBE, the Alexandria database).

The structure in extended XYZ format:
```
11
Lattice="-0.449 -6.422 1.101 1.667 -2.122 -7.770 8.129 -1.162 0.463" Properties=species:S:1:pos:R:3 pbc="T T T"
Ga 1.812 -2.923 -1.082
Ga 7.535 -6.784 -5.124
Ge 0.000 0.000 0.000
Br 5.611 -5.893 0.598
Br 7.893 -3.196 -1.508
Br 1.558 -5.253 -0.611
Br 7.789 -4.453 -5.595
Br 1.454 -6.510 -4.698
Br 3.736 -3.813 -6.804
Br 3.602 -2.685 -2.514
Br 5.746 -7.021 -3.692
```

Output
- crystal system = monoclinic
- formation energy from raw total energies (eV/atom) = -0.75
- E (eV/cell) = -32.3
- calculated volume (Å³/cell) = 431.9



(3)
# GaGe3Br

A geometry-optimized GaGe3Br structure (PBE, the Alexandria database).

The structure in extended XYZ format:
```
5
Lattice="-2.853 -4.207 -0.245 3.653 -2.320 -2.678 2.102 -1.677 4.320" Properties=species:S:1:pos:R:3 pbc="T T T"
Ge 1.826 -1.160 -1.339
Ge 1.051 -0.839 2.160
Ge -1.426 -2.104 -0.123
Ga 0.000 0.000 0.000
Br 1.451 -4.102 0.699
```

Output
- crystal system = cubic
- formation energy from raw total energies (eV/atom) = 0.59
- E (eV/cell) = -15.6
- calculated volume (Å³/cell) = 131.8